A relaxed structure of SrRhF, computed with GGA-PBE.

Output
- Energy: -0.2005 hartree per atom
- Energy relative to the elements, uncorrected: -1.821 eV/atom
- SG: Pm (6)
- Offset from the most stable computed form: 94 meV/atom

```
6
Lattice="3.515 0.000 0.000 0.000 3.522 0.000 -0.039 0.000 8.953" Properties=species:S:1:pos:R:3 pbc="T T T"
Sr 0.000 0.000 0.000
Sr 1.719 1.761 5.392
Rh 3.501 0.000 3.024
Rh 1.744 1.761 2.368
F 1.718 1.761 7.995
F 3.473 0.000 6.350
```

A relaxed structure of SrRhF3, computed with GGA-PBE.

Output
- Energy: -0.1775 hartree per atom
- Energy relative to the elements, uncorrected: -1.901 eV/atom
- SG: Pm-3m (221)
- Offset from the most stable computed form: 0 meV/atom

```
5
Lattice="4.368 0.000 0.000 0.000 4.368 0.000 0.000 0.000 4.368" Properties=species:S:1:pos:R:3 pbc="T T T"
Sr 0.000 0.000 0.000
Rh 2.184 2.184 2.184
F 0.000 2.184 2.184
F 2.184 0.000 2.184
F 2.184 2.184 0.000
```

A relaxed structure of SrRhF, computed with GGA-PBE.

Output
- Energy: -0.1936 hartree per atom
- Energy relative to the elements, uncorrected: -1.634 eV/atom
- SG: Pnma (62)
- Offset from the most stable computed form: 280 meV/atom

```
12
Lattice="15.930 0.000 0.000 0.000 4.702 0.000 0.000 0.000 3.106" Properties=species:S:1:pos:R:3 pbc="T T T"
Sr 1.499 1.176 0.002
Sr 6.466 3.527 1.555
Sr 9.464 1.176 1.551
Sr 14.431 3.527 3.103
Rh 3.809 3.527 0.053
Rh 4.156 1.176 1.606
Rh 11.774 3.527 1.500
Rh 12.121 1.176 3.052
F 0.000 0.000 1.553
F 0.000 2.351 1.553
F 7.965 0.000 0.000
F 7.965 2.351 0.000
```

A relaxed structure of SrRhF, computed with GGA-PBE.

Output
- Energy: -0.1644 hartree per atom
- Energy relative to the elements, uncorrected: -0.840 eV/atom
- SG: F-43m (216)
- Offset from the most stable computed form: 1075 meV/atom

```
3
Lattice="0.000 3.097 3.097 3.097 0.000 3.097 3.097 3.097 0.000" Properties=species:S:1:pos:R:3 pbc="T T T"
Sr 0.000 0.000 0.000
Rh 3.097 3.097 3.097
F 4.645 4.645 4.645
```

Which of these has the lowest energy?
number 1